# InAsPSe2 | the Alexandria database | GGA-PBE | relaxed
data_InAsPSe2
_symmetry_space_group_name_H-M 'P 4/m m m'
_symmetry_Int_Tables_number 123
_symmetry_space_group_name_Hall '-P 4 2'
_cell_length_a 5.2126
_cell_length_b 5.2126
_cell_length_c 5.2882
_cell_angle_alpha 90.00
_cell_angle_beta 90.00
_cell_angle_gamma 90.00
loop_
_atom_site_label
_atom_site_fract_x
_atom_site_fract_y
_atom_site_fract_z
In1 0.0000 0.0000 0.0000
As1 0.0000 0.0000 0.5000
P1 0.5000 0.5000 0.5000
Se1 0.0000 0.5000 0.0000
# Formation energy from raw total energies   1.074 eV per atom
# Energy above the most stable polymorph in this dataset   755 meV/atom
# Calculated volume   28.7 Å³/atom
# Size of the total moment   0.01 μB/cell

---

# Ag3Se2 | the Alexandria database | GGA-PBE | relaxed
data_Ag3Se2
_symmetry_space_group_name_H-M 'C 1 2/c 1'
_symmetry_Int_Tables_number 15
_cell_length_a 11.6374
_cell_length_b 6.8177
_cell_length_c 7.1158
_cell_angle_alpha 90.00
_cell_angle_beta 125.55
_cell_angle_gamma 90.00
loop_
_symmetry_equiv_pos_as_xyz
'x,y,z'
'-x,-y,-z'
'-x,y,-z+1/2'
'x,-y,z+1/2'
'x+1/2,y+1/2,z'
'-x+1/2,-y+1/2,-z'
'-x+1/2,y+1/2,-z+1/2'
'x+1/2,-y+1/2,z+1/2'
loop_
_atom_site_label
_atom_site_fract_x
_atom_site_fract_y
_atom_site_fract_z
Ag1 0.0000 0.0019 0.2500
Ag2 0.1320 0.3773 0.2682
Se1 0.1245 0.2523 0.6373
# Formation energy from raw total energies   0.005 eV per atom
# Energy above the most stable polymorph in this dataset   16 meV/atom
# Calculated volume   23.0 Å³/atom
# Size of the total moment   0.00 μB/cell

---

# SmZn5Ag2 | the Alexandria database | GGA-PBE | relaxed
data_SmZn5Ag2
_symmetry_space_group_name_H-M 'I m m m'
_symmetry_Int_Tables_number 71
_symmetry_space_group_name_Hall '-I 2 2'
_cell_length_a 4.0088
_cell_length_b 7.1765
_cell_length_c 10.4226
_cell_angle_alpha 90.00
_cell_angle_beta 90.00
_cell_angle_gamma 90.00
loop_
_atom_site_label
_atom_site_fract_x
_atom_site_fract_y
_atom_site_fract_z
Sm1 0.0000 0.0000 0.0000
Zn1 0.0000 0.1892 0.3737
Zn2 0.0000 0.5000 0.0000
Ag1 0.0000 0.5000 0.2511
# DFT formation energy   -0.15 eV/atom
# Calculated volume   18.7 Å³/atom
# Size of the total moment   0.00 μB/cell

---

# Er8BiC6 | the Alexandria database | GGA-PBE | relaxed
data_Er8BiC6
_symmetry_space_group_name_H-M 'R -3'
_symmetry_Int_Tables_number 148
_symmetry_space_group_name_Hall '-R 3'
_cell_length_a 9.7749
_cell_length_b 9.7749
_cell_length_c 11.6643
_cell_angle_alpha 90.00
_cell_angle_beta 90.00
_cell_angle_gamma 120.00
loop_
_atom_site_label
_atom_site_fract_x
_atom_site_fract_y
_atom_site_fract_z
Er1 0.0000 0.0000 0.2310
Er2 0.0163 0.2825 0.0842
Bi1 0.0000 0.0000 0.5000
C1 0.0082 0.1994 0.8828
# DFT formation energy   -0.04 eV/atom
# Calculated volume   21.4 Å³/atom
# Size of the total moment   0.02 μB/cell